No. 1
First-principles (PBE) data for a relaxed structure of Ta2MnRh, as listed in Alexandria.

Properties
Formation energy in eV/atom: -0.127
Uncorrected energy in eV/atom: -10.18
DOS(E_F) in states/eV per atom: 1.047

Structure (CIF):
```
data_Ta2MnRh
_chemical_formula_sum 'Ta4 Mn2 Rh2'
_space_group_name_H-M_alt 'C 1 m 1'
_space_group_IT_number 8
_space_group_name_Hall 'C -2y'
_cell_length_a 9.474
_cell_length_b 2.846
_cell_length_c 4.784
_cell_angle_alpha 90.00
_cell_angle_beta 102.18
_cell_angle_gamma 90.00
loop_
_atom_site_label
_atom_site_type_symbol
_atom_site_fract_x
_atom_site_fract_y
_atom_site_fract_z
Ta1 Ta 0.000 0.000 0.000
Ta2 Ta 0.227 0.000 0.657
Mn1 Mn 0.485 0.000 0.486
Rh1 Rh 0.253 0.500 0.180
```

---

No. 2
First-principles (PBE) data for a relaxed structure of Ta2MnRh, as listed in Alexandria.

Properties
Formation energy in eV/atom: -0.156
Uncorrected energy in eV/atom: -10.21
DOS(E_F) in states/eV per atom: 0.973

Structure (CIF):
```
data_Ta2MnRh
_chemical_formula_sum 'Ta2 Mn1 Rh1'
_space_group_name_H-M_alt 'P m m m'
_space_group_IT_number 47
_space_group_name_Hall '-P 2 2'
_cell_length_a 3.464
_cell_length_b 4.138
_cell_length_c 4.398
_cell_angle_alpha 90.00
_cell_angle_beta 90.00
_cell_angle_gamma 90.00
loop_
_atom_site_label
_atom_site_type_symbol
_atom_site_fract_x
_atom_site_fract_y
_atom_site_fract_z
Ta1 Ta 0.000 0.000 0.000
Ta2 Ta 0.500 0.000 0.500
Mn1 Mn 0.000 0.500 0.500
Rh1 Rh 0.500 0.500 0.000
```

---

No. 3
First-principles (PBE) data for a relaxed structure of Ta2MnRh, as listed in Alexandria.

Properties
Formation energy in eV/atom: -0.287
Uncorrected energy in eV/atom: -10.34
DOS(E_F) in states/eV per atom: 0.945

Structure (CIF):
```
data_Ta2MnRh
_chemical_formula_sum 'Ta2 Mn1 Rh1'
_space_group_name_H-M_alt 'P 4/m m m'
_space_group_IT_number 123
_space_group_name_Hall '-P 4 2'
_cell_length_a 3.003
_cell_length_b 3.003
_cell_length_c 6.771
_cell_angle_alpha 90.00
_cell_angle_beta 90.00
_cell_angle_gamma 90.00
loop_
_atom_site_label
_atom_site_type_symbol
_atom_site_fract_x
_atom_site_fract_y
_atom_site_fract_z
Ta1 Ta 0.000 0.000 0.228
Mn1 Mn 0.500 0.500 0.000
Rh1 Rh 0.500 0.500 0.500
```

---

No. 4
First-principles (PBE) data for a relaxed structure of TaMn2Rh, as listed in Alexandria.

Properties
Formation energy in eV/atom: 0.010
Energy relative to the lowest polymorph listed for this composition in eV per formula unit: 0.69
Uncorrected energy in eV/atom: -9.38
DOS(E_F) in states/eV per atom: 1.069

Structure (CIF):
```
data_TaMn2Rh
_chemical_formula_sum 'Ta1 Mn2 Rh1'
_space_group_name_H-M_alt 'P 1 2/m 1'
_space_group_IT_number 10
_space_group_name_Hall '-P 2y'
_cell_length_a 2.756
_cell_length_b 4.206
_cell_length_c 5.103
_cell_angle_alpha 90.00
_cell_angle_beta 101.37
_cell_angle_gamma 90.00
loop_
_atom_site_label
_atom_site_type_symbol
_atom_site_fract_x
_atom_site_fract_y
_atom_site_fract_z
Ta1 Ta 0.000 0.000 0.000
Mn1 Mn 0.251 0.500 0.747
Rh1 Rh 0.500 0.000 0.500
```

---

No. 5
First-principles (PBE) data for a relaxed structure of TaMnRh, as listed in Alexandria.

Properties
Formation energy in eV/atom: -0.063
Energy relative to the lowest polymorph listed for this composition in eV per formula unit: 0.54
Uncorrected energy in eV/atom: -9.52
DOS(E_F) in states/eV per atom: 1.037

Structure (CIF):
```
data_TaMnRh
_chemical_formula_sum 'Ta4 Mn4 Rh4'
_space_group_name_H-M_alt 'F m m 2'
_space_group_IT_number 42
_space_group_name_Hall 'F 2 -2'
_cell_length_a 3.848
_cell_length_b 3.862
_cell_length_c 11.658
_cell_angle_alpha 90.00
_cell_angle_beta 90.00
_cell_angle_gamma 90.00
loop_
_atom_site_label
_atom_site_type_symbol
_atom_site_fract_x
_atom_site_fract_y
_atom_site_fract_z
Ta1 Ta 0.000 0.000 0.000
Mn1 Mn 0.000 0.000 0.325
Rh1 Rh 0.000 0.000 0.687
```

---

No. 6
First-principles (PBE) data for a relaxed structure of Ta2MnRh, as listed in Alexandria.

Properties
Formation energy in eV/atom: -0.139
Uncorrected energy in eV/atom: -10.20
DOS(E_F) in states/eV per atom: 0.999

Structure (CIF):
```
data_Ta2MnRh
_chemical_formula_sum 'Ta4 Mn2 Rh2'
_space_group_name_H-M_alt 'C 1 2/m 1'
_space_group_IT_number 12
_space_group_name_Hall '-C 2y'
_cell_length_a 5.594
_cell_length_b 8.113
_cell_length_c 2.831
_cell_angle_alpha 90.00
_cell_angle_beta 102.19
_cell_angle_gamma 90.00
loop_
_atom_site_label
_atom_site_type_symbol
_atom_site_fract_x
_atom_site_fract_y
_atom_site_fract_z
Ta1 Ta 0.250 0.250 0.000
Mn1 Mn 0.000 0.000 0.500
Rh1 Rh 0.000 0.500 0.500
```